1.
Material: Sm2Ho2Br5N
Method: DFT, PBE
State: optimized geometry

The structure in POSCAR format:
```
Sm2Ho2Br5N
1.0
8.824 -1.879 0.000
8.824 1.879 0.000
-1.911 0.000 7.881
Sm Ho Br N
2 2 5 1
Cartesian
2.339 0.000 0.579
13.397 0.000 7.302
8.433 0.000 1.552
7.302 0.000 6.329
-0.956 0.000 3.940
5.510 0.000 1.469
4.731 0.000 5.097
11.005 0.000 2.784
10.226 0.000 6.412
0.000 0.000 0.000
```

Calculated values
**Crystal system**: monoclinic

---

2.
Material: HoTmZnTe3
Method: DFT, PBE
State: optimized geometry

The structure in POSCAR format:
```
HoTmZnTe3
1.0
2.053 -7.504 0.000
2.053 7.504 0.000
0.000 0.000 10.460
Ho Tm Zn Te
2 2 2 6
Cartesian
2.053 4.151 7.845
2.053 -4.151 2.615
0.000 0.000 0.000
0.000 0.000 5.230
2.053 0.340 2.615
2.053 -0.340 7.845
2.053 5.753 2.615
2.053 2.264 0.516
2.053 2.264 4.713
2.053 -2.264 5.746
2.053 -2.264 9.943
2.053 -5.753 7.845
```

Calculated values
**Crystal system**: orthorhombic

---

3.
Material: KDyOs
Method: DFT, PBE
State: optimized geometry

The structure in POSCAR format:
```
KDyOs
1.0
0.000 3.454 3.454
3.454 0.000 3.454
3.454 3.454 0.000
K Dy Os
1 1 1
Cartesian
0.000 0.000 0.000
3.454 3.454 3.454
5.181 5.181 5.181
```

Calculated values
**Crystal system**: cubic
**Offset from the most stable computed form**: 0.00 eV/f.u.

---

4.
Material: PmAgSeO
Method: DFT, PBE
State: optimized geometry

The structure in POSCAR format:
```
PmAgSeO
1.0
5.716 0.000 0.000
0.000 5.716 0.000
0.000 0.000 9.406
Pm Ag Se O
4 4 4 4
Cartesian
1.428 1.428 1.163
1.428 4.288 8.243
4.288 1.428 8.243
4.288 4.288 1.163
0.000 0.000 4.703
0.000 2.858 4.703
2.858 0.000 4.703
2.858 2.858 4.703
1.426 1.426 6.624
1.426 4.291 2.782
4.291 1.426 2.782
4.291 4.291 6.624
0.000 0.000 0.000
0.000 2.858 0.000
2.858 0.000 0.000
2.858 2.858 0.000
```

Calculated values
**Crystal system**: tetragonal
**Offset from the most stable computed form**: 0.00 eV/f.u.

---

5.
Material: TbGdIn3Si2
Method: DFT, PBE
State: optimized geometry

The structure in POSCAR format:
```
TbGdIn3Si2
1.0
5.352 -2.148 0.000
5.352 2.148 0.000
-1.232 0.000 6.895
Tb Gd In Si
1 1 3 2
Cartesian
0.000 0.000 0.000
7.692 0.000 2.329
0.147 0.000 3.580
3.232 0.000 4.614
6.311 0.000 5.645
3.003 0.000 0.345
4.689 0.000 1.974
```

Calculated values
**Crystal system**: monoclinic

---

6.
Material: LaCuOsW
Method: DFT, PBE
State: optimized geometry

The structure in POSCAR format:
```
LaCuOsW
1.0
0.000 3.246 3.246
3.246 0.000 3.246
3.246 3.246 0.000
La Cu Os W
1 1 1 1
Cartesian
0.000 0.000 0.000
3.246 3.246 3.246
1.623 1.623 1.623
4.869 4.869 4.869
```

Calculated values
**Crystal system**: cubic
**Energy of formation from the pure elements**: 920 meV/atom
**Offset from the most stable computed form**: 1.68 eV/f.u.

---

7.
Material: Zr2Fe2W3
Method: DFT, PBE
State: optimized geometry

The structure in POSCAR format:
```
Zr2Fe2W3
1.0
2.217 1.280 6.667
-2.217 1.280 6.667
0.000 -2.560 6.667
Zr Fe W
2 2 3
Cartesian
0.000 0.000 0.000
0.000 0.000 8.502
0.000 0.000 3.030
0.000 0.000 14.077
0.000 0.000 5.503
0.000 0.000 11.371
0.000 0.000 16.953
```

Calculated values
**Crystal system**: trigonal
**Energy of formation from the pure elements**: 70 meV/atom

---

8.
Material: LiZrNiS3
Method: DFT, PBE
State: optimized geometry

The structure in POSCAR format:
```
LiZrNiS3
1.0
1.768 -6.206 0.000
1.768 6.206 0.000
0.000 0.000 9.612
Li Zr Ni S
2 2 2 6
Cartesian
1.768 3.337 7.209
1.768 -3.337 2.403
0.000 0.000 0.000
0.000 0.000 4.806
1.768 0.234 2.403
1.768 -0.234 7.209
1.768 5.066 2.403
1.768 1.727 0.717
1.768 1.727 4.089
1.768 -1.727 5.523
1.768 -1.727 8.895
1.768 -5.066 7.209
```

Calculated values
**Crystal system**: orthorhombic

---

9.
Material: Tb2ErAl3AgPt2
Method: DFT, PBE
State: optimized geometry

The structure in POSCAR format:
```
Tb2ErAl3AgPt2
1.0
3.914 0.000 0.000
0.000 6.361 3.683
0.000 -6.361 3.683
Tb Er Al Ag Pt
2 1 3 1 2
Cartesian
0.000 -3.727 3.683
0.000 3.727 3.683
0.000 0.000 2.785
1.957 0.000 0.386
1.957 -1.642 4.877
1.957 1.642 4.877
0.000 0.000 5.822
1.957 -2.097 2.161
1.957 2.097 2.161
```

Calculated values
**Crystal system**: orthorhombic

---

10.
Material: AcPmPb
Method: DFT, PBE
State: optimized geometry

The structure in POSCAR format:
```
AcPmPb
1.0
0.000 3.895 3.895
3.895 0.000 3.895
3.895 3.895 0.000
Ac Pm Pb
1 1 1
Cartesian
0.000 0.000 0.000
3.895 3.895 3.895
1.947 1.947 1.947
```

Calculated values
**Crystal system**: cubic

---

11.
Material: TbAgSeO
Method: DFT, PBE
State: optimized geometry

The structure in POSCAR format:
```
TbAgSeO
1.0
5.746 0.000 0.000
0.000 5.745 0.000
-0.433 0.000 11.211
Tb Ag Se O
4 4 4 4
Cartesian
-0.010 0.000 1.047
2.444 0.003 10.157
2.869 2.876 1.054
5.323 2.872 10.163
0.876 1.585 5.563
2.740 0.121 3.261
2.573 2.994 7.949
4.437 4.457 5.647
0.994 1.853 3.105
0.828 1.268 8.018
4.485 4.140 3.193
4.319 4.726 8.106
1.435 4.305 0.002
1.016 1.428 11.203
4.297 4.301 0.008
3.878 1.433 11.208
```

Calculated values
**Crystal system**: monoclinic

---

12.
Material: ZrUPt
Method: DFT, PBE
State: optimized geometry

The structure in POSCAR format:
```
ZrUPt
1.0
0.000 3.310 3.310
3.310 0.000 3.310
3.310 3.310 0.000
Zr U Pt
1 1 1
Cartesian
0.000 0.000 0.000
3.310 3.310 3.310
4.966 4.966 4.966
```

Calculated values
**Crystal system**: cubic
**Energy of formation from the pure elements**: -78 meV/atom
**Offset from the most stable computed form**: 0.00 eV/f.u.

---

13.
Material: TbDyOs
Method: DFT, PBE
State: optimized geometry

The structure in POSCAR format:
```
TbDyOs
1.0
0.000 3.338 3.338
3.338 0.000 3.338
3.338 3.338 0.000
Tb Dy Os
1 1 1
Cartesian
0.000 0.000 0.000
5.008 5.008 5.008
3.338 3.338 3.338
```

Calculated values
**Crystal system**: cubic
**Energy of formation from the pure elements**: 709 meV/atom

---

14.
Material: LiErZnO3
Method: DFT, PBE
State: optimized geometry

The structure in POSCAR format:
```
LiErZnO3
1.0
1.593 -6.889 0.000
1.593 6.889 0.000
0.000 0.000 6.129
Li Er Zn O
2 2 2 6
Cartesian
1.593 4.637 4.597
1.593 -4.637 1.532
1.593 0.000 0.000
1.593 0.000 3.065
1.593 4.373 1.532
1.593 -4.373 4.597
1.593 6.702 4.597
1.593 2.197 3.195
1.593 2.197 6.000
1.593 -2.197 0.130
1.593 -2.197 2.935
1.593 -6.702 1.532
```

Calculated values
**Crystal system**: orthorhombic

---

15.
Material: KReAgTe3
Method: DFT, PBE
State: optimized geometry

The structure in POSCAR format:
```
KReAgTe3
1.0
2.014 -8.000 0.000
2.014 8.000 0.000
0.000 0.000 10.818
K Re Ag Te
2 2 2 6
Cartesian
2.014 4.227 8.114
2.014 -4.227 2.705
0.000 0.000 0.000
0.000 0.000 5.409
2.014 0.795 2.705
2.014 -0.795 8.114
2.014 6.889 2.705
2.014 1.906 0.227
2.014 1.906 5.182
2.014 -1.906 5.636
2.014 -1.906 10.591
2.014 -6.889 8.114
```

Calculated values
**Crystal system**: orthorhombic

---

16.
Material: TmNb2CuGe2
Method: DFT, PBE
State: optimized geometry

The structure in POSCAR format:
```
TmNb2CuGe2
1.0
3.950 0.000 0.000
0.000 3.950 0.000
0.000 0.000 7.286
Tm Nb Cu Ge
1 2 1 2
Cartesian
0.000 0.000 0.000
0.000 1.975 2.673
1.975 0.000 2.673
1.975 1.975 4.974
0.000 0.000 4.565
1.975 1.975 0.684
```

Calculated values
**Crystal system**: tetragonal

---

17.
Material: TmGePO
Method: DFT, PBE
State: optimized geometry

The structure in POSCAR format:
```
TmGePO
1.0
5.301 0.000 0.000
0.000 5.301 0.000
0.000 0.000 4.854
Tm Ge P O
2 2 2 2
Cartesian
1.325 3.976 0.000
3.976 1.325 0.000
1.325 1.325 2.420
3.976 3.976 2.434
1.325 1.325 4.843
3.976 3.976 0.011
1.325 3.976 2.427
3.976 1.325 2.427
```

Calculated values
**Crystal system**: tetragonal
**Offset from the most stable computed form**: 1.44 eV/f.u.

---

18.
Material: La2NdIn3AgPt2
Method: DFT, PBE
State: optimized geometry

The structure in POSCAR format:
```
La2NdIn3AgPt2
1.0
4.070 0.000 0.000
0.000 6.849 3.945
0.000 -6.849 3.945
La Nd In Ag Pt
2 1 3 1 2
Cartesian
0.000 -3.995 3.945
0.000 3.995 3.945
0.000 0.000 4.909
2.035 -1.739 2.670
2.035 1.739 2.670
2.035 0.000 7.474
0.000 0.000 1.638
2.035 -2.293 5.592
2.035 2.293 5.592
```

Calculated values
**Crystal system**: orthorhombic

---

19.
Material: Pr2ScAl3
Method: DFT, PBE
State: optimized geometry

The structure in POSCAR format:
```
Pr2ScAl3
1.0
5.950 0.000 0.000
-2.975 5.152 0.000
0.000 0.000 9.332
Pr Sc Al
4 2 6
Cartesian
0.000 3.435 0.592
0.000 3.435 4.074
2.975 1.717 5.258
2.975 1.717 8.740
0.000 0.000 0.000
0.000 0.000 4.666
0.000 1.787 6.999
-1.427 4.259 6.999
1.548 0.894 2.333
1.427 4.259 6.999
4.402 0.894 2.333
2.975 3.365 2.333
```

Calculated values
**Crystal system**: hexagonal

---

20.
Material: Fe4CoGe2Ir
Method: DFT, PBE
State: optimized geometry

The structure in POSCAR format:
```
Fe4CoGe2Ir
1.0
4.095 0.000 0.000
0.000 4.095 0.000
0.000 0.000 5.888
Fe Co Ge Ir
4 1 2 1
Cartesian
0.000 0.000 0.000
0.000 2.047 4.339
2.047 0.000 1.549
2.047 2.047 2.944
0.000 0.000 2.944
0.000 2.047 1.541
2.047 0.000 4.347
2.047 2.047 0.000
```

Calculated values
**Crystal system**: tetragonal

---

For the records above, the corresponding E values read -5.1156 -4.1961 -4.6003 -5.9328 -4.4985 -7.2866 -10.3005 -5.8937 -5.3176 -4.4122 -5.8533 -8.7106 -6.1098 -5.9155 -4.3150 -6.5747 -5.9517 -5.0149 -4.9379 -7.4516 eV/atom.
For the records above, the corresponding magnetic moment values read 0.00 0.00 0.00 0.00 0.00 0.15 1.83 0.36 0.00 0.09 0.00 3.37 0.00 0.00 2.32 0.00 0.00 0.01 0.01 10.17 μB/f.u..